[1]
{"formula": "Be2BIr2", "functional": "PBE-GGA", "state": "relaxed", "volume_a3_per_atom": 11.28, "magnetic_moment_mub_per_fu": 0.00, "spacegroup": "P4/mbm, No. 127", "final_energy_ev_per_atom": -6.75, "density_g_cm3": 12.2, "lattice": [[-0.789, -2.000, -5.229], [-1.742, -4.931, 2.149], [-3.320, 1.193, 0.045]], "species": ["B", "B", "Be", "Be", "Be", "Be", "Ir", "Ir", "Ir", "Ir"], "frac_coords": [[0.000, 0.000, 0.000], [0.500, 0.500, 0.000], [0.359, 0.141, 0.500], [0.859, 0.359, 0.500], [0.141, 0.641, 0.500], [0.641, 0.859, 0.500], [0.667, 0.167, 0.000], [0.167, 0.333, 0.000], [0.833, 0.667, 0.000], [0.333, 0.833, 0.000]]}

[2]
{"formula": "CsPmHo", "functional": "PBE-GGA", "state": "relaxed", "volume_a3_per_atom": 52.99, "magnetic_moment_mub_per_fu": 3.23, "spacegroup": "F-43m, No. 216", "final_energy_ev_per_atom": -2.16, "density_g_cm3": 4.6, "lattice": [[1.361, -0.665, 5.889], [0.445, 4.888, 3.589], [-4.231, 1.057, 4.237]], "species": ["Cs", "Ho", "Pm"], "frac_coords": [[0.250, 0.250, 0.250], [0.000, 0.000, 0.000], [0.750, 0.750, 0.750]]}

[3]
{"formula": "Sr2LiOsS6", "functional": "PBE-GGA", "state": "relaxed", "volume_a3_per_atom": 20.96, "polymorph_energy_ev_per_atom": 0.082, "magnetic_moment_mub_per_fu": 0.02, "spacegroup": "Fm-3m, No. 225", "density_g_cm3": 4.5, "lattice": [[0.000, 4.714, 4.714], [4.714, 0.000, 4.714], [4.714, 4.714, 0.000]], "species": ["Li", "Os", "S", "S", "S", "S", "S", "S", "Sr", "Sr"], "frac_coords": [[0.500, 0.500, 0.500], [0.000, 0.000, 0.000], [0.752, 0.248, 0.248], [0.248, 0.752, 0.248], [0.752, 0.752, 0.248], [0.248, 0.248, 0.752], [0.752, 0.248, 0.752], [0.248, 0.752, 0.752], [0.250, 0.250, 0.250], [0.750, 0.750, 0.750]]}